{"formula": "TaMoBr2", "functional": "GGA-PBE", "state": "relaxed", "density_g_cm3": 7.2, "final_energy_ev_per_atom": -6.635, "relative_energy_mev_per_atom": 0, "total_magnetization_mub_per_fu": 0.00, "formation_energy_uncorrected_kj_per_mol_fu": -49, "sg": "No. 6", "lattice_angstrom": [[3.130, 0.000, 0.000], [0.000, 3.473, -0.015], [0.000, 0.093, 9.203]], "species": ["Ta", "Br", "Br", "Mo"], "fractional_positions": [[0.500, 0.882, 0.705], [0.500, 0.366, 0.320], [0.000, 0.879, 0.935], [0.000, 0.373, 0.541]]}